BaAc4Au4 | PBE | optimized geometry

```
BaAc4Au4
1.0
-5.1827 5.1827 3.1739
5.1827 -5.1827 3.1739
5.1827 5.1827 -3.1739
Ba Ac Au
1 4 4
direct
0.0000 0.0000 0.0000
0.1912 0.6059 0.7972
0.3941 0.1912 0.5853
0.6059 0.8088 0.4147
0.8088 0.3941 0.2028
0.1062 0.3085 0.4146
0.3085 0.8938 0.2023
0.6915 0.1062 0.7977
0.8938 0.6915 0.5854
```

Results
VASP energy = -37.2 eV for the cell shown
D(E_F) = 8.53 states/eV/cell
total magnetization = 0.00 Bohr magnetons per cell
DFT formation energy = -0.6405 eV per atom
density = 8.93 Mg/m³